(1)
# CsSeI4 | the Alexandria database | GGA-PBE | relaxed
data_CsSeI4
_chemical_formula_sum 'Cs1 Se1 I4'
_space_group_name_H-M_alt 'P 1'
_space_group_IT_number 1
_cell_length_a 7.921
_cell_length_b 7.921
_cell_length_c 7.921
_cell_angle_alpha 102.58
_cell_angle_beta 102.57
_cell_angle_gamma 124.37
loop_
_space_group_symop_operation_xyz
'x,y,z'
loop_
_atom_site_label
_atom_site_type_symbol
_atom_site_fract_x
_atom_site_fract_y
_atom_site_fract_z
Cs1 Cs 0.750 0.250 0.500
I1 I 0.698 0.300 0.000
I2 I 0.700 0.700 0.398
I3 I 0.300 0.698 0.000
I4 I 0.302 0.302 0.602
Se1 Se 0.500 0.500 0.000
# E, eV per atom: -2.20
# Total magnetic moment, μB/f.u.: 0.00
# Formation energy from raw total energies, meV/atom: -446

=====

(2)
# Cs6Se2I | the Alexandria database | GGA-PBE | relaxed
data_Cs6Se2I
_chemical_formula_sum 'Cs6 Se2 I1'
_space_group_name_H-M_alt 'P 1'
_space_group_IT_number 1
_cell_length_a 7.430
_cell_length_b 7.430
_cell_length_c 9.547
_cell_angle_alpha 94.38
_cell_angle_beta 94.38
_cell_angle_gamma 104.26
loop_
_space_group_symop_operation_xyz
'x,y,z'
loop_
_atom_site_label
_atom_site_type_symbol
_atom_site_fract_x
_atom_site_fract_y
_atom_site_fract_z
Cs1 Cs 0.262 0.762 0.586
Cs2 Cs 0.014 0.917 0.222
Cs3 Cs 0.417 0.514 0.222
Cs4 Cs 0.986 0.083 0.778
Cs5 Cs 0.583 0.486 0.778
Cs6 Cs 0.738 0.238 0.414
I1 I 0.500 0.000 0.000
Se1 Se 0.751 0.749 0.500
Se2 Se 0.249 0.251 0.500
# E, eV per atom: -2.48
# Total magnetic moment, μB/f.u.: 0.61
# Formation energy from raw total energies, meV/atom: -965

=====

(3)
# Cs8SeI5 | the Alexandria database | GGA-PBE | relaxed
data_Cs8SeI5
_chemical_formula_sum 'Cs8 Se1 I5'
_space_group_name_H-M_alt 'P 1'
_space_group_IT_number 1
_cell_length_a 10.121
_cell_length_b 10.121
_cell_length_c 10.121
_cell_angle_alpha 109.63
_cell_angle_beta 109.63
_cell_angle_gamma 109.16
loop_
_space_group_symop_operation_xyz
'x,y,z'
loop_
_atom_site_label
_atom_site_type_symbol
_atom_site_fract_x
_atom_site_fract_y
_atom_site_fract_z
Cs1 Cs 0.135 0.534 0.739
Cs2 Cs 0.794 0.395 0.261
Cs3 Cs 0.605 0.865 0.399
Cs4 Cs 0.263 0.397 0.268
Cs5 Cs 0.129 0.995 0.732
Cs6 Cs 0.466 0.206 0.601
Cs7 Cs 0.603 0.871 0.866
Cs8 Cs 0.005 0.737 0.134
I1 I 0.500 0.500 0.000
I2 I 0.385 0.010 0.131
I3 I 0.990 0.121 0.374
I4 I 0.879 0.253 0.869
I5 I 0.747 0.615 0.626
Se1 Se 0.250 0.750 0.500
# E, eV per atom: -2.57
# Total magnetic moment, μB/f.u.: 0.00
# Formation energy from raw total energies, meV/atom: -1282

=====

(4)
# Cs2Se3I2 | the Alexandria database | GGA-PBE | relaxed
data_Cs2Se3I2
_chemical_formula_sum 'Cs2 Se3 I2'
_space_group_name_H-M_alt 'P 1'
_space_group_IT_number 1
_cell_length_a 7.231
_cell_length_b 7.353
_cell_length_c 6.723
_cell_angle_alpha 87.40
_cell_angle_beta 90.00
_cell_angle_gamma 119.45
loop_
_space_group_symop_operation_xyz
'x,y,z'
loop_
_atom_site_label
_atom_site_type_symbol
_atom_site_fract_x
_atom_site_fract_y
_atom_site_fract_z
Se1 Se 0.500 0.000 0.000
Se2 Se 0.444 0.888 0.644
Se3 Se 0.556 0.112 0.356
Cs1 Cs 0.772 0.544 0.756
Cs2 Cs 0.228 0.456 0.244
I1 I 0.870 0.739 0.246
I2 I 0.130 0.261 0.754
# E, eV per atom: -2.83
# Total magnetic moment, μB/f.u.: 0.00
# Formation energy from raw total energies, meV/atom: -650

=====

(5)
# Cs3Se5I12 | the Alexandria database | GGA-PBE | relaxed
data_Cs3Se5I12
_chemical_formula_sum 'Cs12 Se20 I48'
_space_group_name_H-M_alt 'P 1'
_space_group_IT_number 1
_cell_length_a 17.625
_cell_length_b 17.625
_cell_length_c 17.625
_cell_angle_alpha 109.47
_cell_angle_beta 109.47
_cell_angle_gamma 109.47
loop_
_space_group_symop_operation_xyz
'x,y,z'
loop_
_atom_site_label
_atom_site_type_symbol
_atom_site_fract_x
_atom_site_fract_y
_atom_site_fract_z
I1 I 0.113 0.930 0.096
I2 I 0.930 0.817 0.833
I3 I 0.596 0.983 0.167
I4 I 0.333 0.904 0.017
I5 I 0.070 0.183 0.167
I6 I 0.833 0.317 0.930
I7 I 0.904 0.333 0.517
I8 I 0.096 0.667 0.483
I9 I 0.613 0.017 0.683
I10 I 0.833 0.517 0.404
I11 I 0.904 0.570 0.887
I12 I 0.596 0.613 0.930
I13 I 0.683 0.517 0.613
I14 I 0.517 0.683 0.113
I15 I 0.887 0.070 0.904
I16 I 0.887 0.817 0.483
I17 I 0.167 0.683 0.070
I18 I 0.483 0.317 0.887
I19 I 0.983 0.596 0.667
I20 I 0.430 0.333 0.317
I21 I 0.683 0.167 0.570
I22 I 0.017 0.613 0.183
I23 I 0.317 0.833 0.430
I24 I 0.483 0.167 0.096
I25 I 0.183 0.070 0.667
I26 I 0.183 0.113 0.017
I27 I 0.517 0.833 0.904
I28 I 0.333 0.430 0.817
I29 I 0.667 0.096 0.983
I30 I 0.167 0.483 0.596
I31 I 0.613 0.596 0.430
I32 I 0.404 0.017 0.833
I33 I 0.096 0.430 0.113
I34 I 0.570 0.667 0.683
I35 I 0.817 0.887 0.983
I36 I 0.317 0.483 0.387
I37 I 0.070 0.887 0.404
I38 I 0.387 0.983 0.317
I39 I 0.817 0.930 0.333
I40 I 0.404 0.387 0.070
I41 I 0.113 0.183 0.517
I42 I 0.430 0.096 0.613
I43 I 0.387 0.404 0.570
I44 I 0.570 0.904 0.387
I45 I 0.017 0.404 0.333
I46 I 0.667 0.570 0.183
I47 I 0.983 0.387 0.817
I48 I 0.930 0.113 0.596
Se1 Se 0.375 0.250 0.125
Se2 Se 0.250 0.375 0.625
Se3 Se 0.625 0.875 0.250
Se4 Se 0.875 0.625 0.750
Se5 Se 0.000 0.500 0.500
Se6 Se 0.250 0.875 0.125
Se7 Se 0.125 0.375 0.250
Se8 Se 0.625 0.750 0.875
Se9 Se 0.500 0.000 0.500
Se10 Se 0.750 0.625 0.375
Se11 Se 0.500 0.500 0.000
Se12 Se 0.000 0.000 0.000
Se13 Se 0.750 0.125 0.875
Se14 Se 0.375 0.125 0.750
Se15 Se 0.500 0.500 0.500
Se16 Se 0.125 0.750 0.375
Se17 Se 0.500 0.000 0.000
Se18 Se 0.000 0.000 0.500
Se19 Se 0.000 0.500 0.000
Se20 Se 0.875 0.250 0.625
Cs1 Cs 0.375 0.625 0.250
Cs2 Cs 0.750 0.875 0.625
Cs3 Cs 0.375 0.750 0.625
Cs4 Cs 0.875 0.125 0.250
Cs5 Cs 0.250 0.125 0.375
Cs6 Cs 0.125 0.250 0.875
Cs7 Cs 0.625 0.375 0.750
Cs8 Cs 0.875 0.750 0.125
Cs9 Cs 0.125 0.875 0.750
Cs10 Cs 0.625 0.250 0.375
Cs11 Cs 0.250 0.625 0.875
Cs12 Cs 0.750 0.375 0.125
# E, eV per atom: -2.25
# Total magnetic moment, μB/f.u.: 0.00
# Formation energy from raw total energies, meV/atom: -317

=====

(6)
# CsSe2I4 | the Alexandria database | GGA-PBE | relaxed
data_CsSe2I4
_chemical_formula_sum 'Cs2 Se4 I8'
_space_group_name_H-M_alt 'P 1'
_space_group_IT_number 1
_cell_length_a 8.145
_cell_length_b 13.166
_cell_length_c 13.177
_cell_angle_alpha 59.93
_cell_angle_beta 66.08
_cell_angle_gamma 113.61
loop_
_space_group_symop_operation_xyz
'x,y,z'
loop_
_atom_site_label
_atom_site_type_symbol
_atom_site_fract_x
_atom_site_fract_y
_atom_site_fract_z
Se1 Se 0.341 0.396 0.429
Se2 Se 0.464 0.015 0.227
Se3 Se 0.536 0.312 0.446
Se4 Se 0.657 0.225 0.948
I1 I 0.898 0.755 0.438
I2 I 0.616 0.605 0.087
I3 I 0.383 0.293 0.015
I4 I 0.102 0.668 0.139
I5 I 0.909 0.244 0.182
I6 I 0.097 0.915 0.662
I7 I 0.718 0.041 0.792
I8 I 0.282 0.486 0.680
Cs1 Cs 0.500 0.797 0.702
Cs2 Cs 0.995 0.998 0.003
# E, eV per atom: -2.38
# Total magnetic moment, μB/f.u.: 0.00
# Formation energy from raw total energies, meV/atom: -377